Computed, not measured: a relaxed Na2MnBe crystal at the GGA-PBE level of DFT. Values from VASP.

Calculated values
- Formation energy: 867 meV per atom

```
&SYSTEM
  ibrav = 0, nat = 8, ntyp = 3
/
ATOMIC_SPECIES
Na 22.99 Na.upf
Be 9.01 Be.upf
Mn 54.94 Mn.upf
CELL_PARAMETERS angstrom
9.8160 0.0000 0.0000
0.0000 9.8160 0.0000
4.9080 4.9080 2.2686
ATOMIC_POSITIONS crystal
Na 0.2576 0.6250 0.2500
Na 0.8750 0.7424 0.7500
Na 0.3750 0.5076 0.7500
Na 0.4924 0.1250 0.2500
Be 0.2500 0.7500 0.5000
Be 0.5000 0.5000 0.0000
Mn 0.7500 0.2500 0.5000
Mn 0.0000 0.0000 0.0000
```